[1]
The following is a DFT calculation (PBE-GGA) of a relaxed Pm2Tm5Pb4 crystal.

Formation enthalpy at 0 K: -45 meV/atom
SG: C2/m

POSCAR file:
```
Pm2Tm5Pb4
1.0
12.4378 -1.7515 0.0000
12.4378 1.7515 0.0000
-0.4541 0.0000 8.0109
Pm Tm Pb
2 5 4
direct
0.0538 0.0538 0.1537
0.9462 0.9462 0.8463
0.1543 0.1543 0.4623
0.1809 0.1809 0.0033
0.5000 0.5000 0.5000
0.8191 0.8191 0.9967
0.8457 0.8457 0.5377
0.0754 0.0754 0.7640
0.2684 0.2684 0.2892
0.7316 0.7316 0.7108
0.9246 0.9246 0.2360
```

=====

[2]
The following is a DFT calculation (PBE-GGA) of a relaxed Ac3Ir4Pt2 crystal.

Formation enthalpy at 0 K: -698 meV/atom
SG: P-6m2

POSCAR file:
```
Ac3Ir4Pt2
1.0
4.4124 0.0000 0.0000
-2.2062 3.8212 0.0000
0.0000 0.0000 25.9592
Ac Ir Pt
6 8 4
direct
0.0000 0.0000 0.0839
0.0000 0.0000 0.2488
0.0000 0.0000 0.4125
0.0000 0.0000 0.5875
0.0000 0.0000 0.7512
0.0000 0.0000 0.9161
0.3333 0.6667 0.0000
0.3333 0.6667 0.1669
0.3333 0.6667 0.3338
0.3333 0.6667 0.6662
0.3333 0.6667 0.8331
0.6667 0.3333 0.0000
0.6667 0.3333 0.3338
0.6667 0.3333 0.6662
0.3333 0.6667 0.5000
0.6667 0.3333 0.1668
0.6667 0.3333 0.5000
0.6667 0.3333 0.8332
```

=====

[3]
The following is a DFT calculation (PBE-GGA) of a relaxed CrP2Se crystal.

Formation energy (no corrections): 0.087 eV per atom
SG: P2/m

POSCAR file:
```
CrP2Se
1.0
3.6782 0.0000 0.0000
0.0000 4.5331 0.0000
-0.7484 0.0000 4.0145
Cr P Se
1 2 1
direct
0.0000 0.0000 0.0000
0.2057 0.5000 0.8251
0.7943 0.5000 0.1749
0.5000 0.0000 0.5000
```

=====

[4]
The following is a DFT calculation (PBE-GGA) of a relaxed PmPr6DyHo2 crystal.

Formation enthalpy at 0 K: 113 meV/atom
SG: C2/c

POSCAR file:
```
PmPr6DyHo2
1.0
4.6851 -7.6865 0.0000
4.6851 7.6865 0.0000
-1.2850 0.0000 9.6682
Pm Pr Dy Ho
2 12 2 4
direct
0.0284 0.9716 0.7500
0.9716 0.0284 0.2500
0.0076 0.5628 0.6868
0.1131 0.7598 0.0549
0.2402 0.8869 0.4451
0.2954 0.5124 0.8820
0.4372 0.9924 0.8132
0.4876 0.7046 0.6180
0.5124 0.2954 0.3820
0.5628 0.0076 0.1868
0.7046 0.4876 0.1180
0.7598 0.1131 0.5549
0.8869 0.2402 0.9451
0.9924 0.4372 0.3132
0.4105 0.5895 0.2500
0.5895 0.4105 0.7500
0.2007 0.2963 0.5477
0.2963 0.2007 0.0477
0.7037 0.7993 0.9523
0.7993 0.7037 0.4523
```

=====

[5]
The following is a DFT calculation (PBE-GGA) of a relaxed PRh2 crystal.

Formation enthalpy at 0 K: -437 meV/atom
SG: P-3m1

POSCAR file:
```
PRh2
1.0
3.6673 0.0000 0.0000
-1.8337 3.1760 0.0000
0.0000 0.0000 3.8235
P Rh
1 2
direct
0.0000 0.0000 0.0000
0.3333 0.6667 0.2431
0.6667 0.3333 0.7569
```

=====

[6]
The following is a DFT calculation (PBE-GGA) of a relaxed AlCoSbP2 crystal.

Formation energy (no corrections): 1.082 eV per atom
SG: P4/mmm

POSCAR file:
```
AlCoSbP2
1.0
4.5188 0.0000 0.0000
0.0000 4.5188 0.0000
0.0000 0.0000 5.3660
Al Co Sb P
1 1 1 2
direct
0.0000 0.0000 0.0000
0.5000 0.5000 0.5000
0.0000 0.0000 0.5000
0.0000 0.5000 0.0000
0.5000 0.0000 0.0000
```

=====

[7]
The following is a DFT calculation (PBE-GGA) of a relaxed CrSiSb crystal.

Formation energy (no corrections): 0.264 eV per atom
Polymorph energy (0 for the lowest one): 0.000 eV per atom
SG: I4mm

POSCAR file:
```
CrSiSb
1.0
-1.6339 1.6339 4.5338
1.6339 -1.6339 4.5338
1.6339 1.6339 -4.5338
Cr Si Sb
1 1 1
direct
0.0000 0.0000 0.0000
0.6066 0.6066 0.0000
0.3081 0.3081 0.0000
```

=====

[8]
The following is a DFT calculation (PBE-GGA) of a relaxed Mn2AlHg crystal.

Formation enthalpy at 0 K: 138 meV/atom
Polymorph energy (0 for the lowest one): 0.034 eV per atom
SG: Pmmm

POSCAR file:
```
Mn2AlHg
1.0
3.9309 0.0000 0.0000
0.0000 3.9558 0.0000
0.0000 0.0000 3.9769
Mn Al Hg
2 1 1
direct
0.0000 0.0000 0.0000
0.0000 0.5000 0.5000
0.5000 0.0000 0.5000
0.5000 0.5000 0.0000
```

=====

| no. | DOS(E_F) (states/eV per atom) | final energy (eV for the cell shown) | total magnetization (μB/atom) |
| --- | --- | --- | --- |
| 1 | 1.113 | -47.19 | 0.000 |
| 2 | 0.940 | -132.27 | 0.001 |
| 3 | 0.457 | -23.58 | 0.674 |
| 4 | 1.465 | -92.10 | 0.000 |
| 5 | 1.208 | -21.42 | 0.000 |
| 6 | 1.385 | -20.38 | 0.384 |
| 7 | 0.617 | -18.38 | 0.000 |
| 8 | 0.666 | -21.83 | 1.475 |